Below is TbNd3Zn2 after structural relaxation, with properties calculated at the PBE level.

- energy of formation (eV per atom) = 0.0546
- volume (Å³/atom) = 31.520
- space group = Ibam, No. 72
- energy above the most stable polymorph in this dataset (meV per atom) = 253
- total energy (eV per atom) = -3.53

Cell: 8.963 8.963 8.963 Å, 133.97 68.70 131.99°
Fractional positions:
Tb 0.000 0.000 0.000
Tb 0.500 0.500 0.000
Nd 0.025 0.250 0.775
Nd 0.250 0.750 0.500
Nd 0.475 0.250 0.225
Nd 0.525 0.750 0.775
Nd 0.750 0.250 0.500
Nd 0.975 0.750 0.225
Zn 0.137 0.705 0.841
Zn 0.363 0.205 0.568
Zn 0.637 0.795 0.432
Zn 0.863 0.295 0.159

Below is TbSm2PaAs5 after structural relaxation, with properties calculated at the PBE level.

- energy of formation (eV per atom) = -0.5677
- volume (Å³/atom) = 31.239
- space group = P4/mmm, No. 123
- total energy (eV per atom) = -5.77

Cell: 5.074 5.074 10.921 Å, 90.00 90.00 90.00°
Fractional positions:
Tb 0.000 0.000 0.000
Sm 0.500 0.500 0.270
Sm 0.500 0.500 0.730
Pa 0.000 0.000 0.500
As 0.000 0.000 0.247
As 0.000 0.000 0.753
As 0.000 0.500 0.500
As 0.500 0.000 0.500
As 0.500 0.500 0.000

Below is TcF after structural relaxation, with properties calculated at the PBE level.

- volume (Å³/atom) = 15.970
- space group = Fm-3m, No. 225
- E_form (uncorrected) (eV/atom) = 0.5007
- energy above the most stable polymorph in this dataset (meV per atom) = 1538
- total energy (eV per atom) = -5.62

Cell: 3.561 3.561 3.561 Å, 60.00 60.00 60.00°
Fractional positions:
Tc 0.000 0.000 0.000
F 0.500 0.500 0.500

Below is Er2Al3Fe after structural relaxation, with properties calculated at the PBE level.

- energy of formation (eV per atom) = -0.4151
- volume (Å³/atom) = 18.793
- space group = R-3m, No. 166
- total energy (eV per atom) = -5.22

Cell: 5.360 5.360 5.360 Å, 61.57 61.57 61.57°
Fractional positions:
Er 0.126 0.126 0.126
Er 0.874 0.874 0.874
Al 0.000 0.500 0.500
Al 0.500 0.000 0.500
Al 0.500 0.500 0.000
Fe 0.500 0.500 0.500